1.
DFT (GGA-PBE) results for a relaxed structure of Cs2PrBr6.

Calculated values
E_form (uncorrected) = -1.56 eV/atom
SG = C2/m, No. 12

abc: 9.7691 9.7691 5.3295
angles: 105.72 105.72 53.53
Fractional coordinates of all 9 atoms:
Cs  0.1680  0.1680  0.1679
Cs  0.8320  0.8320  0.8321
Pr  0.5000  0.5000  0.5000
Br  0.1445  0.5754  0.3600
Br  0.3049  0.6951  0.0000
Br  0.4246  0.8555  0.6400
Br  0.5754  0.1445  0.3600
Br  0.6951  0.3049  0.0000
Br  0.8555  0.4246  0.6400

2.
DFT (GGA-PBE) results for a relaxed structure of CsPrBr3.

Calculated values
E_form (uncorrected) = -1.73 eV/atom
relative energy among the computed polymorphs = 0.0 kJ per mole of atoms
SG = Pnma, No. 62

abc: 10.0755 4.2468 17.6276
angles: 90.00 90.00 90.00
Fractional coordinates of all 20 atoms:
Cs  0.0625  0.2500  0.1736
Cs  0.4375  0.7500  0.6736
Cs  0.5625  0.2500  0.3264
Cs  0.9375  0.7500  0.8264
Pr  0.1311  0.7500  0.4528
Pr  0.3689  0.2500  0.9528
Pr  0.6311  0.7500  0.0472
Pr  0.8689  0.2500  0.5472
Br  0.0514  0.7500  0.6211
Br  0.1704  0.7500  0.0016
Br  0.2354  0.2500  0.8017
Br  0.2646  0.7500  0.3017
Br  0.3296  0.2500  0.5016
Br  0.4486  0.2500  0.1211
Br  0.5514  0.7500  0.8789
Br  0.6704  0.7500  0.4984
Br  0.7354  0.2500  0.6983
Br  0.7646  0.7500  0.1983
Br  0.8296  0.2500  0.9984
Br  0.9486  0.2500  0.3789

3.
DFT (GGA-PBE) results for a relaxed structure of Cs2PrBr6.

Calculated values
E_form (uncorrected) = -1.57 eV/atom
SG = Amm2, No. 38

abc: 4.7111 9.1808 9.1808
angles: 120.14 90.00 90.00
Fractional coordinates of all 9 atoms:
Cs  0.0000  0.1670  0.8330
Cs  0.0000  0.8330  0.1670
Pr  0.5000  0.5015  0.5015
Br  0.0000  0.2750  0.5003
Br  0.0000  0.5003  0.2750
Br  0.0000  0.7274  0.7274
Br  0.5000  0.1642  0.1642
Br  0.5000  0.4998  0.8372
Br  0.5000  0.8372  0.4998

4.
DFT (GGA-PBE) results for a relaxed structure of CsPr2Br7.

Calculated values
E_form (uncorrected) = -1.87 eV/atom
SG = Cmmm, No. 65

abc: 8.8380 8.8380 5.8509
angles: 90.00 90.00 116.49
Fractional coordinates of all 10 atoms:
Cs  0.0000  0.0000  0.0000
Pr  0.3026  0.6974  0.5000
Pr  0.6974  0.3026  0.5000
Br  0.0490  0.3266  0.5000
Br  0.2915  0.7085  0.0000
Br  0.3266  0.0490  0.5000
Br  0.5000  0.5000  0.5000
Br  0.6734  0.9510  0.5000
Br  0.7085  0.2915  0.0000
Br  0.9510  0.6734  0.5000

5.
DFT (GGA-PBE) results for a relaxed structure of CsPr2Br6.

Calculated values
E_form (uncorrected) = -1.79 eV/atom
SG = C2/c, No. 15

abc: 10.9461 10.9461 7.5651
angles: 106.78 106.78 69.65
Fractional coordinates of all 18 atoms:
Cs  0.2120  0.7880  0.7500
Cs  0.7880  0.2120  0.2500
Pr  0.1862  0.3147  0.0384
Pr  0.3147  0.1862  0.5384
Pr  0.6853  0.8138  0.4616
Pr  0.8138  0.6853  0.9616
Br  0.0822  0.1732  0.6507
Br  0.0960  0.5725  0.9110
Br  0.1732  0.0822  0.1507
Br  0.2849  0.4392  0.4387
Br  0.4275  0.9040  0.5890
Br  0.4392  0.2849  0.9387
Br  0.5608  0.7151  0.0613
Br  0.5725  0.0960  0.4110
Br  0.7151  0.5608  0.5613
Br  0.8268  0.9178  0.8493
Br  0.9040  0.4275  0.0890
Br  0.9178  0.8268  0.3493

6.
DFT (GGA-PBE) results for a relaxed structure of CsPrBr2.

Calculated values
E_form (uncorrected) = -1.19 eV/atom
SG = R-3m, No. 166

abc: 4.0542 4.0542 33.4892
angles: 90.00 90.00 120.00
Fractional coordinates of all 12 atoms:
Cs  0.0000  0.0000  0.0000
Cs  0.3333  0.6667  0.6667
Cs  0.6667  0.3333  0.3333
Pr  0.0000  0.0000  0.5000
Pr  0.3333  0.6667  0.1667
Pr  0.6667  0.3333  0.8333
Br  0.0000  0.0000  0.1052
Br  0.0000  0.0000  0.8948
Br  0.3333  0.6667  0.5614
Br  0.3333  0.6667  0.7719
Br  0.6667  0.3333  0.2281
Br  0.6667  0.3333  0.4386

7.
DFT (GGA-PBE) results for a relaxed structure of CsPrBr3.

Calculated values
E_form (uncorrected) = -1.65 eV/atom
relative energy among the computed polymorphs = 7.7 kJ per mole of atoms
SG = Pm-3m, No. 221

abc: 5.8942 5.8942 5.8942
angles: 90.00 90.00 90.00
Fractional coordinates of all 5 atoms:
Cs  0.0000  0.0000  0.0000
Pr  0.5000  0.5000  0.5000
Br  0.0000  0.5000  0.5000
Br  0.5000  0.0000  0.5000
Br  0.5000  0.5000  0.0000

8.
DFT (GGA-PBE) results for a relaxed structure of Cs3PrBr6.

Calculated values
E_form (uncorrected) = -1.87 eV/atom
SG = P2_1/c, No. 14

abc: 8.5774 9.0933 14.7321
angles: 90.00 124.19 90.00
Fractional coordinates of all 20 atoms:
Cs  0.0000  0.0000  0.0000
Cs  0.0000  0.5000  0.5000
Cs  0.2159  0.0699  0.7427
Cs  0.2159  0.4301  0.2427
Cs  0.7841  0.5699  0.7573
Cs  0.7841  0.9301  0.2573
Pr  0.5000  0.0000  0.5000
Pr  0.5000  0.5000  0.0000
Br  0.1742  0.1759  0.4490
Br  0.1742  0.3241  0.9490
Br  0.2620  0.7344  0.4266
Br  0.2620  0.7656  0.9266
Br  0.3993  0.0535  0.2769
Br  0.3993  0.4465  0.7769
Br  0.6007  0.5535  0.2231
Br  0.6007  0.9465  0.7231
Br  0.7380  0.2344  0.0734
Br  0.7380  0.2656  0.5734
Br  0.8258  0.6759  0.0510
Br  0.8258  0.8241  0.5510

9.
DFT (GGA-PBE) results for a relaxed structure of Cs4PrBr6.

Calculated values
E_form (uncorrected) = -1.70 eV/atom
SG = P4/mnc, No. 128

abc: 9.9605 9.9605 10.2296
angles: 90.00 90.00 90.00
Fractional coordinates of all 22 atoms:
Cs  0.1676  0.3324  0.2500
Cs  0.1676  0.3324  0.7500
Cs  0.3324  0.8324  0.2500
Cs  0.3324  0.8324  0.7500
Cs  0.6676  0.1676  0.2500
Cs  0.6676  0.1676  0.7500
Cs  0.8324  0.6676  0.2500
Cs  0.8324  0.6676  0.7500
Pr  0.0000  0.0000  0.0000
Pr  0.5000  0.5000  0.5000
Br  0.0000  0.0000  0.2888
Br  0.0000  0.0000  0.7112
Br  0.0981  0.7052  0.0000
Br  0.2052  0.5981  0.5000
Br  0.2948  0.0981  0.0000
Br  0.4019  0.2052  0.5000
Br  0.5000  0.5000  0.2112
Br  0.5000  0.5000  0.7888
Br  0.5981  0.7948  0.5000
Br  0.7052  0.9019  0.0000
Br  0.7948  0.4019  0.5000
Br  0.9019  0.2948  0.0000

10.
DFT (GGA-PBE) results for a relaxed structure of CsPrSeBr.

Calculated values
E_form (uncorrected) = -1.53 eV/atom
SG = Cm, No. 8

abc: 7.5085 4.3423 9.1270
angles: 90.00 105.86 90.00
Fractional coordinates of all 8 atoms:
Cs  0.0000  0.0000  0.0000
Cs  0.5000  0.5000  0.0000
Pr  0.1828  0.0000  0.5492
Pr  0.6828  0.5000  0.5492
Se  0.0771  0.5000  0.7307
Se  0.5771  0.0000  0.7307
Br  0.2753  0.5000  0.3268
Br  0.7753  0.0000  0.3268

11.
DFT (GGA-PBE) results for a relaxed structure of Cs2PrSe2Br2.

Calculated values
E_form (uncorrected) = -1.53 eV/atom
SG = I4/mmm, No. 139

abc: 5.7373 5.7373 18.7445
angles: 90.00 90.00 90.00
Fractional coordinates of all 14 atoms:
Cs  0.0000  0.0000  0.1441
Cs  0.0000  0.0000  0.8559
Cs  0.5000  0.5000  0.3559
Cs  0.5000  0.5000  0.6441
Pr  0.0000  0.0000  0.5000
Pr  0.5000  0.5000  0.0000
Se  0.0000  0.5000  0.0000
Se  0.0000  0.5000  0.5000
Se  0.5000  0.0000  0.0000
Se  0.5000  0.0000  0.5000
Br  0.0000  0.0000  0.3392
Br  0.0000  0.0000  0.6608
Br  0.5000  0.5000  0.1608
Br  0.5000  0.5000  0.8392

12.
DFT (GGA-PBE) results for a relaxed structure of Cs2SrPrBr6.

Calculated values
E_form (uncorrected) = -1.80 eV/atom
SG = Pmmn, No. 59

abc: 8.4270 11.9564 8.4777
angles: 90.00 90.00 90.00
Fractional coordinates of all 20 atoms:
Cs  0.2500  0.0016  0.2479
Cs  0.2500  0.4984  0.2479
Cs  0.7500  0.5016  0.7521
Cs  0.7500  0.9984  0.7521
Sr  0.2500  0.2500  0.7478
Sr  0.7500  0.7500  0.2522
Pr  0.2500  0.7500  0.7521
Pr  0.7500  0.2500  0.2479
Br  0.0011  0.7500  0.5045
Br  0.0023  0.7500  0.0008
Br  0.2500  0.5018  0.7517
Br  0.2500  0.9982  0.7517
Br  0.4977  0.7500  0.0008
Br  0.4989  0.7500  0.5045
Br  0.5011  0.2500  0.4955
Br  0.5023  0.2500  0.9992
Br  0.7500  0.0018  0.2483
Br  0.7500  0.4982  0.2483
Br  0.9977  0.2500  0.9992
Br  0.9989  0.2500  0.4955

13.
DFT (GGA-PBE) results for a relaxed structure of Cs3PrTl2Br9.

Calculated values
E_form (uncorrected) = -1.45 eV/atom
SG = P-3m1, No. 164

abc: 8.5281 8.5281 10.4533
angles: 90.00 90.00 120.00
Fractional coordinates of all 15 atoms:
Cs  0.0000  0.0000  0.0000
Cs  0.3333  0.6667  0.6782
Cs  0.6667  0.3333  0.3218
Pr  0.0000  0.0000  0.5000
Tl  0.3333  0.6667  0.1547
Tl  0.6667  0.3333  0.8453
Br  0.0000  0.5000  0.0000
Br  0.1618  0.3236  0.3415
Br  0.1618  0.8382  0.3415
Br  0.3236  0.1618  0.6585
Br  0.5000  0.0000  0.0000
Br  0.5000  0.5000  0.0000
Br  0.6764  0.8382  0.3415
Br  0.8382  0.1618  0.6585
Br  0.8382  0.6764  0.6585

14.
DFT (GGA-PBE) results for a relaxed structure of CsPrTl2Br6.

Calculated values
E_form (uncorrected) = -1.48 eV/atom
SG = P1, No. 1

abc: 8.3818 8.3913 8.7964
angles: 61.55 61.56 60.04
Fractional coordinates of all 10 atoms:
Cs  0.0000  0.0000  0.0000
Pr  0.5158  0.5159  0.4521
Tl  0.2023  0.2018  0.3934
Tl  0.7154  0.7152  0.8535
Br  0.1618  0.7543  0.6607
Br  0.3488  0.5715  0.1923
Br  0.4233  0.1616  0.6604
Br  0.5716  0.8867  0.1920
Br  0.7551  0.4231  0.6601
Br  0.8867  0.3497  0.1918

15.
DFT (GGA-PBE) results for a relaxed structure of Cs2PrTlBr6.

Calculated values
E_form (uncorrected) = -1.69 eV/atom
SG = P2_1/c, No. 14

abc: 8.3535 8.7875 14.5844
angles: 90.00 124.48 90.00
Fractional coordinates of all 20 atoms:
Cs  0.2270  0.0677  0.2493
Cs  0.2270  0.4323  0.7493
Cs  0.7730  0.5677  0.2507
Cs  0.7730  0.9323  0.7507
Pr  0.5000  0.0000  0.0000
Pr  0.5000  0.5000  0.5000
Tl  0.0000  0.0000  0.5000
Tl  0.0000  0.5000  0.0000
Br  0.1709  0.1856  0.9546
Br  0.1709  0.3144  0.4546
Br  0.2683  0.7221  0.9496
Br  0.2683  0.7779  0.4496
Br  0.3601  0.0275  0.7660
Br  0.3601  0.4725  0.2660
Br  0.6399  0.5275  0.7340
Br  0.6399  0.9725  0.2340
Br  0.7317  0.2221  0.5504
Br  0.7317  0.2779  0.0504
Br  0.8291  0.6856  0.5454
Br  0.8291  0.8144  0.0454

16.
DFT (GGA-PBE) results for a relaxed structure of CsPt2Br.

Calculated values
E_form (uncorrected) = 0.07 eV/atom
relative energy among the computed polymorphs = 0.0 kJ per mole of atoms
SG = I4_1/amd, No. 141

abc: 5.5452 5.5452 16.6889
angles: 90.00 90.00 90.00
Fractional coordinates of all 16 atoms:
Cs  0.0000  0.2500  0.3750
Cs  0.0000  0.7500  0.6250
Cs  0.5000  0.2500  0.1250
Cs  0.5000  0.7500  0.8750
Pt  0.0000  0.0000  0.0000
Pt  0.0000  0.5000  0.0000
Pt  0.2500  0.2500  0.7500
Pt  0.2500  0.7500  0.2500
Pt  0.5000  0.0000  0.5000
Pt  0.5000  0.5000  0.5000
Pt  0.7500  0.2500  0.7500
Pt  0.7500  0.7500  0.2500
Br  0.0000  0.2500  0.8750
Br  0.0000  0.7500  0.1250
Br  0.5000  0.2500  0.6250
Br  0.5000  0.7500  0.3750

17.
DFT (GGA-PBE) results for a relaxed structure of Cs4PtBr2.

Calculated values
E_form (uncorrected) = -1.00 eV/atom
relative energy among the computed polymorphs = 0.0 kJ per mole of atoms
SG = C2/m, No. 12

abc: 17.2080 4.8570 10.2128
angles: 90.00 122.36 90.00
Fractional coordinates of all 14 atoms:
Cs  0.0390  0.0000  0.3516
Cs  0.1609  0.5000  0.0801
Cs  0.3391  0.0000  0.9199
Cs  0.4610  0.5000  0.6484
Cs  0.5390  0.5000  0.3516
Cs  0.6609  0.0000  0.0801
Cs  0.8391  0.5000  0.9199
Cs  0.9610  0.0000  0.6484
Pt  0.0000  0.0000  0.0000
Pt  0.5000  0.5000  0.0000
Br  0.1409  0.5000  0.6908
Br  0.3591  0.0000  0.3092
Br  0.6409  0.0000  0.6908
Br  0.8591  0.5000  0.3092

18.
DFT (GGA-PBE) results for a relaxed structure of CsPtBr2.

Calculated values
E_form (uncorrected) = -0.12 eV/atom
relative energy among the computed polymorphs = 40.6 kJ per mole of atoms
SG = R-3m, No. 166

abc: 4.3868 4.3868 27.0040
angles: 90.00 90.00 120.00
Fractional coordinates of all 12 atoms:
Cs  0.0000  0.0000  0.0000
Cs  0.3333  0.6667  0.6667
Cs  0.6667  0.3333  0.3333
Pt  0.0000  0.0000  0.5000
Pt  0.3333  0.6667  0.1667
Pt  0.6667  0.3333  0.8333
Br  0.0000  0.0000  0.1239
Br  0.0000  0.0000  0.8761
Br  0.3333  0.6667  0.5427
Br  0.3333  0.6667  0.7906
Br  0.6667  0.3333  0.2094
Br  0.6667  0.3333  0.4573

19.
DFT (GGA-PBE) results for a relaxed structure of Cs4PtBr2.

Calculated values
E_form (uncorrected) = -0.94 eV/atom
relative energy among the computed polymorphs = 5.9 kJ per mole of atoms
SG = I4/mmm, No. 139

abc: 6.4775 6.4775 18.9540
angles: 90.00 90.00 90.00
Fractional coordinates of all 14 atoms:
Cs  0.0000  0.0000  0.1725
Cs  0.0000  0.0000  0.8275
Cs  0.0000  0.5000  0.0000
Cs  0.0000  0.5000  0.5000
Cs  0.5000  0.0000  0.0000
Cs  0.5000  0.0000  0.5000
Cs  0.5000  0.5000  0.3275
Cs  0.5000  0.5000  0.6725
Pt  0.0000  0.0000  0.0000
Pt  0.5000  0.5000  0.5000
Br  0.0000  0.0000  0.3619
Br  0.0000  0.0000  0.6381
Br  0.5000  0.5000  0.1381
Br  0.5000  0.5000  0.8619

20.
DFT (GGA-PBE) results for a relaxed structure of CsPtBr5.

Calculated values
E_form (uncorrected) = -0.59 eV/atom
SG = Imm2, No. 44

abc: 8.2384 9.0382 7.5658
angles: 90.00 90.00 90.00
Fractional coordinates of all 14 atoms:
Cs  0.0000  0.0000  0.0000
Cs  0.5000  0.5000  0.5000
Pt  0.0000  0.5000  0.9405
Pt  0.5000  0.0000  0.4405
Br  0.0000  0.3200  0.6943
Br  0.0000  0.5000  0.2601
Br  0.0000  0.6800  0.6943
Br  0.1988  0.0000  0.4497
Br  0.3012  0.5000  0.9497
Br  0.5000  0.0000  0.7601
Br  0.5000  0.1800  0.1943
Br  0.5000  0.8200  0.1943
Br  0.6988  0.5000  0.9497
Br  0.8012  0.0000  0.4497

21.
DFT (GGA-PBE) results for a relaxed structure of CsPtBr.

Calculated values
E_form (uncorrected) = -0.64 eV/atom
relative energy among the computed polymorphs = 3.9 kJ per mole of atoms
SG = P1, No. 1

abc: 3.9861 5.2366 11.0530
angles: 77.58 89.92 67.69
Fractional coordinates of all 6 atoms:
Cs  0.0000  0.0000  0.0000
Cs  0.1069  0.7821  0.4243
Pt  0.5231  0.9437  0.6888
Pt  0.8498  0.2911  0.6832
Br  0.2044  0.5807  0.7555
Br  0.3478  0.3062  0.2025